Record 1
AcSc2Ru (PBE, optimized geometry); magnetization = 0.00 μB per formula unit; mass density = 6.32 Mg/m³; DFT formation energy = -2.28 kcal/mol of atoms; symmetry = R-3m (166)
1.0
2.098 1.211 7.202
-2.098 1.211 7.202
0.000 -2.422 7.202
Ac Sc Ru
1 2 1
direct
0.000 0.000 0.000
0.213 0.213 0.213
0.787 0.787 0.787
0.500 0.500 0.500


Record 2
LiTl8 (PBE, optimized geometry); magnetization = 0.00 μB per formula unit; mass density = 10.36 Mg/m³; DFT formation energy = -0.44 kcal/mol of atoms; symmetry = I4/mmm (139)
1.0
-5.811 5.811 1.948
5.811 -5.811 1.948
5.811 5.811 -1.948
Li Tl
1 8
direct
0.000 0.000 0.000
0.000 0.332 0.332
0.000 0.668 0.668
0.332 0.000 0.332
0.339 0.339 0.679
0.339 0.661 0.000
0.661 0.339 0.000
0.661 0.661 0.321
0.668 0.000 0.668


Record 3
PrNdEr2Se4 (PBE, optimized geometry); magnetization = 0.00 μB per formula unit; mass density = 7.72 Mg/m³; symmetry = P2/m (10); final energy = -5.854 eV per atom
1.0
7.068 0.000 0.000
0.000 4.060 0.000
-2.337 0.000 7.016
Pr Nd Er Se
1 1 2 4
direct
0.000 0.000 0.000
0.500 0.500 0.000
0.000 0.500 0.500
0.500 0.000 0.500
0.244 0.000 0.730
0.258 0.500 0.271
0.742 0.500 0.729
0.756 0.000 0.270